# 1
# SrZnGa2Os, relaxed, DFT PBE-GGA
data_SrZnGa2Os
_chemical_formula_sum 'Sr1 Zn1 Ga2 Os1'
_space_group_name_H-M_alt 'P 1'
_space_group_IT_number 1
_space_group_name_Hall 'P 1'
_cell_length_a 4.8115
_cell_length_b 4.8115
_cell_length_c 4.9422
_cell_angle_alpha 90.00
_cell_angle_beta 90.00
_cell_angle_gamma 90.00
loop_
_atom_site_label
_atom_site_type_symbol
_atom_site_fract_x
_atom_site_fract_y
_atom_site_fract_z
_atom_site_occupancy
Sr1 Sr 0.0000 0.0000 0.0000 1
Zn1 Zn 0.5000 0.5000 0.0000 1
Ga1 Ga 0.0000 0.5000 0.5000 1
Ga2 Ga 0.5000 0.0000 0.5000 1
Os1 Os 0.5000 0.5000 0.5000 1
# Space-group type   P4/mmm (123)
# Electronic total energy   -21.7 eV/cell
# Magnetic moment   0.0 Bohr magnetons per cell
# Formation energy from the elements   -282 meV per atom

---

# 2
# Ta2GaOs, relaxed, DFT PBE-GGA
data_Ta2GaOs
_chemical_formula_sum 'Ta4 Ga2 Os2'
_space_group_name_H-M_alt 'P 1'
_space_group_IT_number 1
_space_group_name_Hall 'P 1'
_cell_length_a 7.1399
_cell_length_b 7.1399
_cell_length_c 7.1399
_cell_angle_alpha 131.46
_cell_angle_beta 131.46
_cell_angle_gamma 71.08
loop_
_atom_site_label
_atom_site_type_symbol
_atom_site_fract_x
_atom_site_fract_y
_atom_site_fract_z
_atom_site_occupancy
Ta1 Ta 0.1135 0.6250 0.9885 1
Ta2 Ta 0.3750 0.3635 0.4885 1
Ta3 Ta 0.6365 0.1250 0.0115 1
Ta4 Ta 0.8750 0.8865 0.5115 1
Ga1 Ga 0.2500 0.7500 0.5000 1
Ga2 Ga 0.5000 0.5000 0.0000 1
Os1 Os 0.0000 0.0000 0.0000 1
Os2 Os 0.7500 0.2500 0.5000 1
# Space-group type   I-42d (122)
# Electronic total energy   -65.1 eV/cell
# Magnetic moment   0.0 Bohr magnetons per cell
# Formation energy from the elements   1356 meV per atom

---

# 3
# Ta3GaOs4, relaxed, DFT PBE-GGA
data_Ta3GaOs4
_chemical_formula_sum 'Ta3 Ga1 Os4'
_space_group_name_H-M_alt 'P 1'
_space_group_IT_number 1
_space_group_name_Hall 'P 1'
_cell_length_a 3.1308
_cell_length_b 4.4845
_cell_length_c 8.9579
_cell_angle_alpha 90.00
_cell_angle_beta 90.00
_cell_angle_gamma 90.00
loop_
_atom_site_label
_atom_site_type_symbol
_atom_site_fract_x
_atom_site_fract_y
_atom_site_fract_z
_atom_site_occupancy
Ta1 Ta 0.0000 0.0000 0.0000 1
Ta2 Ta 0.0000 0.5000 0.2535 1
Ta3 Ta 0.0000 0.5000 0.7465 1
Ga1 Ga 0.0000 0.0000 0.5000 1
Os1 Os 0.5000 0.0000 0.2567 1
Os2 Os 0.5000 0.0000 0.7433 1
Os3 Os 0.5000 0.5000 0.0000 1
Os4 Os 0.5000 0.5000 0.5000 1
# Space-group type   Pmmm (47)
# Electronic total energy   -85.4 eV/cell
# Magnetic moment   0.0 Bohr magnetons per cell
# Formation energy from the elements   -241 meV per atom

---

# 4
# Ta4GaOs5, relaxed, DFT PBE-GGA
data_Ta4GaOs5
_chemical_formula_sum 'Ta4 Ga1 Os5'
_space_group_name_H-M_alt 'P 1'
_space_group_IT_number 1
_space_group_name_Hall 'P 1'
_cell_length_a 3.1012
_cell_length_b 3.1012
_cell_length_c 16.4865
_cell_angle_alpha 90.00
_cell_angle_beta 90.00
_cell_angle_gamma 90.00
loop_
_atom_site_label
_atom_site_type_symbol
_atom_site_fract_x
_atom_site_fract_y
_atom_site_fract_z
_atom_site_occupancy
Ta1 Ta 0.0000 0.0000 0.1040 1
Ta2 Ta 0.0000 0.0000 0.3104 1
Ta3 Ta 0.0000 0.0000 0.6896 1
Ta4 Ta 0.0000 0.0000 0.8960 1
Ga1 Ga 0.0000 0.0000 0.5000 1
Os1 Os 0.5000 0.5000 0.0000 1
Os2 Os 0.5000 0.5000 0.2097 1
Os3 Os 0.5000 0.5000 0.4071 1
Os4 Os 0.5000 0.5000 0.5930 1
Os5 Os 0.5000 0.5000 0.7903 1
# Space-group type   P4/mmm (123)
# Electronic total energy   -109.2 eV/cell
# Magnetic moment   0.0 Bohr magnetons per cell
# Formation energy from the elements   -261 meV per atom

---

# 5
# TaGa3Os, relaxed, DFT PBE-GGA
data_TaGa3Os
_chemical_formula_sum 'Ta1 Ga3 Os1'
_space_group_name_H-M_alt 'P 1'
_space_group_IT_number 1
_space_group_name_Hall 'P 1'
_cell_length_a 4.7054
_cell_length_b 4.7054
_cell_length_c 4.7054
_cell_angle_alpha 90.00
_cell_angle_beta 90.00
_cell_angle_gamma 90.00
loop_
_atom_site_label
_atom_site_type_symbol
_atom_site_fract_x
_atom_site_fract_y
_atom_site_fract_z
_atom_site_occupancy
Ta1 Ta 0.0000 0.0000 0.0000 1
Ga1 Ga 0.0000 0.5000 0.5000 1
Ga2 Ga 0.5000 0.0000 0.5000 1
Ga3 Ga 0.5000 0.5000 0.0000 1
Os1 Os 0.5000 0.5000 0.5000 1
# Space-group type   Pm-3m (221)
# Electronic total energy   -27.5 eV/cell
# Magnetic moment   0.0 Bohr magnetons per cell
# Formation energy from the elements   932 meV per atom

---

# 6
# Ta2GaOs, relaxed, DFT PBE-GGA
data_Ta2GaOs
_chemical_formula_sum 'Ta2 Ga1 Os1'
_space_group_name_H-M_alt 'P 1'
_space_group_IT_number 1
_space_group_name_Hall 'P 1'
_cell_length_a 4.0263
_cell_length_b 4.0263
_cell_length_c 4.0137
_cell_angle_alpha 90.00
_cell_angle_beta 90.00
_cell_angle_gamma 90.00
loop_
_atom_site_label
_atom_site_type_symbol
_atom_site_fract_x
_atom_site_fract_y
_atom_site_fract_z
_atom_site_occupancy
Ta1 Ta 0.0000 0.5000 0.0000 1
Ta2 Ta 0.5000 0.0000 0.0000 1
Ga1 Ga 0.0000 0.0000 0.5000 1
Os1 Os 0.5000 0.5000 0.5000 1
# Space-group type   P4/mmm (123)
# Electronic total energy   -38.6 eV/cell
# Magnetic moment   0.0 Bohr magnetons per cell
# Formation energy from the elements   -153 meV per atom

---

# 7
# TaGaOs2, relaxed, DFT PBE-GGA
data_TaGaOs2
_chemical_formula_sum 'Ta2 Ga2 Os4'
_space_group_name_H-M_alt 'P 1'
_space_group_IT_number 1
_space_group_name_Hall 'P 1'
_cell_length_a 5.6801
_cell_length_b 5.6801
_cell_length_c 5.6801
_cell_angle_alpha 103.30
_cell_angle_beta 103.30
_cell_angle_gamma 122.67
loop_
_atom_site_label
_atom_site_type_symbol
_atom_site_fract_x
_atom_site_fract_y
_atom_site_fract_z
_atom_site_occupancy
Ta1 Ta 0.0000 0.0000 0.0000 1
Ta2 Ta 0.7500 0.2500 0.5000 1
Ga1 Ga 0.2500 0.7500 0.5000 1
Ga2 Ga 0.5000 0.5000 0.0000 1
Os1 Os 0.1255 0.6250 0.0005 1
Os2 Os 0.3750 0.3755 0.5005 1
Os3 Os 0.6245 0.1250 0.9995 1
Os4 Os 0.8750 0.8745 0.4995 1
# Space-group type   I-42d (122)
# Electronic total energy   -69.4 eV/cell
# Magnetic moment   0.0 Bohr magnetons per cell
# Formation energy from the elements   661 meV per atom

---

# 8
# TaGaOs3, relaxed, DFT PBE-GGA
data_TaGaOs3
_chemical_formula_sum 'Ta1 Ga1 Os3'
_space_group_name_H-M_alt 'P 1'
_space_group_IT_number 1
_space_group_name_Hall 'P 1'
_cell_length_a 4.7781
_cell_length_b 4.7781
_cell_length_c 4.7781
_cell_angle_alpha 90.00
_cell_angle_beta 90.00
_cell_angle_gamma 90.00
loop_
_atom_site_label
_atom_site_type_symbol
_atom_site_fract_x
_atom_site_fract_y
_atom_site_fract_z
_atom_site_occupancy
Ta1 Ta 0.0000 0.0000 0.0000 1
Ga1 Ga 0.5000 0.5000 0.5000 1
Os1 Os 0.0000 0.0000 0.5000 1
Os2 Os 0.0000 0.5000 0.0000 1
Os3 Os 0.5000 0.0000 0.0000 1
# Space-group type   Pm-3m (221)
# Electronic total energy   -37.5 eV/cell
# Magnetic moment   0.7 Bohr magnetons per cell
# Formation energy from the elements   2205 meV per atom

---

> The highest electronic total energy belongs to which entry?

SrZnGa2Os

---

> The highest magnetic moment belongs to which entry?

TaGaOs3

---

> magnetic moment of number 8 (TaGaOs3)?

0.7 Bohr magnetons per cell